[1]
Computed, not measured: an optimized crystal structure of CsS4I at the PBE level of DFT.

The structure in POSCAR format:
```
CsS4I
1.0
5.619 0.000 0.000
-0.822 6.205 0.000
-0.550 -1.460 6.566
Cs S I
1 4 1
Direct
0.000 0.000 0.000
0.261 0.594 0.292
0.491 0.554 0.857
0.509 0.446 0.143
0.739 0.406 0.708
0.500 0.000 0.500
```

Summary:
As for the uncorrected formation energy: -0.373 eV per atom. Its space group is P-1 (2). As for the total magnetization: 0.000 μB/f.u. For the uncorrected energy, the calculation gives -21.15 eV/cell.

---

[2]
Computed, not measured: an optimized crystal structure of HgPd2S at the PBE level of DFT.

The structure in POSCAR format:
```
HgPd2S
1.0
-2.431 2.431 7.384
2.431 -2.431 7.384
2.431 2.431 -7.384
Hg Pd S
2 4 2
Direct
0.000 0.000 0.000
0.750 0.250 0.500
0.241 0.625 0.116
0.375 0.491 0.616
0.509 0.125 0.884
0.875 0.759 0.384
0.250 0.750 0.500
0.500 0.500 0.000
```

Summary:
As for the uncorrected formation energy: -0.055 eV per atom. Its space group is I-42d (122). As for the total magnetization: 0.000 μB/f.u. For the uncorrected energy, the calculation gives -30.07 eV/cell.

---

[3]
Computed, not measured: an optimized crystal structure of Pm2PrVN4 at the PBE level of DFT.

The structure in POSCAR format:
```
Pm2PrVN4
1.0
1.733 -6.002 0.000
1.733 6.002 0.000
0.000 0.000 12.129
Pm Pr V N
4 2 2 8
Direct
0.131 0.869 0.542
0.131 0.869 0.958
0.869 0.131 0.042
0.869 0.131 0.458
0.416 0.584 0.750
0.584 0.416 0.250
0.323 0.677 0.250
0.677 0.323 0.750
0.082 0.918 0.750
0.234 0.766 0.132
0.234 0.766 0.368
0.500 0.500 0.000
0.500 0.500 0.500
0.766 0.234 0.632
0.766 0.234 0.868
0.918 0.082 0.250
```

Summary:
As for the uncorrected formation energy: -1.210 eV per atom. Its space group is Cmcm (63). As for the total magnetization: 0.000 μB/f.u. For the uncorrected energy, the calculation gives -132.76 eV/cell.

---

[4]
Computed, not measured: an optimized crystal structure of CeHo7Tm4 at the PBE level of DFT.

The structure in POSCAR format:
```
CeHo7Tm4
1.0
9.298 -3.414 0.000
9.298 3.414 0.000
-0.011 0.000 5.890
Ce Ho Tm
1 7 4
Direct
0.000 0.000 0.000
0.000 0.000 0.500
0.187 0.187 0.253
0.287 0.287 0.757
0.461 0.461 0.750
0.539 0.539 0.250
0.713 0.713 0.243
0.813 0.813 0.747
0.131 0.595 0.253
0.405 0.869 0.747
0.595 0.131 0.253
0.869 0.405 0.747
```

Summary:
Its formation enthalpy at 0 K is 0.1477 eV/atom. Its space group is C2/m (12). As for the total magnetization: 1.391 μB/f.u. For the uncorrected energy, the calculation gives -54.09 eV/cell.

---

[5]
Computed, not measured: an optimized crystal structure of MgCr at the PBE level of DFT.

The structure in POSCAR format:
```
MgCr
1.0
0.000 4.226 6.602
2.513 0.000 6.602
2.513 4.226 0.000
Mg Cr
4 4
Direct
0.040 0.710 0.040
0.290 0.960 0.290
0.710 0.040 0.710
0.960 0.290 0.960
0.306 0.306 0.444
0.444 0.444 0.306
0.556 0.556 0.694
0.694 0.694 0.556
```

Summary:
Its formation enthalpy at 0 K is 0.6419 eV/atom. Its relative energy among the computed polymorphs is 38.3 kJ/mol of atoms. Its space group is Fddd (70). As for the total magnetization: 0.000 μB/f.u. For the uncorrected energy, the calculation gives -39.74 eV/cell.

---

[6]
Computed, not measured: an optimized crystal structure of RePtCl2 at the PBE level of DFT.

The structure in POSCAR format:
```
RePtCl2
1.0
2.884 0.000 0.000
0.000 4.315 0.000
-0.393 0.000 5.209
Re Pt Cl
1 1 2
Direct
0.000 0.000 0.000
0.500 0.000 0.500
0.182 0.500 0.242
0.818 0.500 0.758
```

Summary:
As for the uncorrected formation energy: 0.726 eV per atom. Its relative energy among the computed polymorphs is 68.2 kJ/mol of atoms. Its space group is P2/m (10). As for the total magnetization: 0.001 μB/f.u. For the uncorrected energy, the calculation gives -19.28 eV/cell.

---

[7]
Computed, not measured: an optimized crystal structure of Na3ZnCo at the PBE level of DFT.

The structure in POSCAR format:
```
Na3ZnCo
1.0
5.369 0.000 0.000
0.000 5.369 0.000
0.000 0.000 5.369
Na Zn Co
3 1 1
Direct
0.000 0.000 0.500
0.000 0.500 0.000
0.500 0.000 0.000
0.500 0.500 0.500
0.000 0.000 0.000
```

Summary:
Its formation enthalpy at 0 K is 0.8722 eV/atom. Its relative energy among the computed polymorphs is 0.0 kJ/mol of atoms. Its space group is Pm-3m (221). As for the total magnetization: 0.069 μB/f.u. For the uncorrected energy, the calculation gives -7.98 eV/cell.

---

[8]
Computed, not measured: an optimized crystal structure of Mn3Be5 at the PBE level of DFT.

The structure in POSCAR format:
```
Mn3Be5
1.0
-4.227 4.227 2.082
4.227 -4.227 2.082
4.227 4.227 -2.082
Mn Be
6 10
Direct
0.195 0.695 0.889
0.250 0.250 0.000
0.305 0.195 0.500
0.695 0.805 0.500
0.750 0.750 0.000
0.805 0.305 0.111
0.056 0.263 0.319
0.237 0.444 0.681
0.250 0.750 0.500
0.263 0.944 0.207
0.444 0.763 0.207
0.556 0.237 0.793
0.737 0.056 0.793
0.750 0.250 0.500
0.763 0.556 0.319
0.944 0.737 0.681
```

Summary:
Its formation enthalpy at 0 K is 0.0677 eV/atom. Its space group is I4/mcm (140). As for the total magnetization: 3.360 μB/f.u. For the uncorrected energy, the calculation gives -91.20 eV/cell.

---

[9]
Computed, not measured: an optimized crystal structure of Ca2HoSn at the PBE level of DFT.

The structure in POSCAR format:
```
Ca2HoSn
1.0
4.843 0.000 0.000
0.000 4.843 0.000
0.000 0.000 5.118
Ca Ho Sn
2 1 1
Direct
0.000 0.500 0.000
0.500 0.000 0.000
0.000 0.000 0.500
0.500 0.500 0.500
```

Summary:
Its formation enthalpy at 0 K is -0.3664 eV/atom. Its relative energy among the computed polymorphs is 0.0 kJ/mol of atoms. Its space group is P4/mmm (123). As for the total magnetization: 0.000 μB/f.u. For the uncorrected energy, the calculation gives -14.05 eV/cell.

---

[10]
Computed, not measured: an optimized crystal structure of TcNi3Pt7 at the PBE level of DFT.

The structure in POSCAR format:
```
TcNi3Pt7
1.0
4.601 -4.604 0.000
4.601 4.604 0.000
-2.377 0.000 4.042
Tc Ni Pt
1 3 7
Direct
0.000 0.000 0.000
0.268 0.732 0.500
0.500 0.500 0.000
0.732 0.268 0.500
0.000 0.000 0.500
0.093 0.571 0.831
0.329 0.329 0.337
0.429 0.907 0.169
0.571 0.093 0.831
0.671 0.671 0.663
0.907 0.429 0.169
```

Summary:
Its formation enthalpy at 0 K is 0.2375 eV/atom. Its space group is C2/m (12). As for the total magnetization: 0.293 μB/f.u. For the uncorrected energy, the calculation gives -67.38 eV/cell.

---

[11]
Computed, not measured: an optimized crystal structure of MgTa2BiW at the PBE level of DFT.

The structure in POSCAR format:
```
MgTa2BiW
1.0
5.152 0.000 0.000
0.000 5.152 0.000
0.000 0.000 5.046
Mg Ta Bi W
1 2 1 1
Direct
0.000 0.000 0.000
0.000 0.500 0.500
0.500 0.000 0.500
0.500 0.500 0.500
0.500 0.500 0.000
```

Summary:
Its formation enthalpy at 0 K is 2.3612 eV/atom. Its space group is P4/mmm (123). As for the total magnetization: 0.000 μB/f.u. For the uncorrected energy, the calculation gives -30.33 eV/cell.

---

[12]
Computed, not measured: an optimized crystal structure of Co2CuPb at the PBE level of DFT.

The structure in POSCAR format:
```
Co2CuPb
1.0
3.925 0.000 0.000
0.000 3.925 0.000
0.000 0.000 3.659
Co Cu Pb
2 1 1
Direct
0.000 0.500 0.000
0.500 0.000 0.000
0.000 0.000 0.500
0.500 0.500 0.500
```

Summary:
Its formation enthalpy at 0 K is 0.4422 eV/atom. Its space group is P4/mmm (123). As for the total magnetization: 1.241 μB/f.u. For the uncorrected energy, the calculation gives -20.25 eV/cell.